# TaBe2Cl

Crystalline TaBe2Cl at its relaxed geometry (PBE, Alexandria via LeMat-Bulk).

E: -20.58 eV per cell
Energy relative to the lowest polymorph listed for this composition: 0.2 kJ/mol of atoms
Space group: No. 99

Unit cell a=2.877 b=2.877 c=8.244 alpha=90.00 beta=90.00 gamma=90.00
Positions (direct):
Ta 0.000 0.000 0.000
Be 0.000 0.000 0.316
Be 0.500 0.500 0.211
Cl 0.500 0.500 0.796